This record from Alexandria describes a geometry-optimized TcAg3P structure. The functional is PBE-GGA.

## Properties
Magnetization (Bohr magnetons per cell): 4.1
Fermi-level density of states (states/eV/f.u.): 6.0
Energy relative to the elements (meV per atom): 1804
E_tot (eV/atom): -3.062

a = 5.089 Å, b = 5.089 Å, c = 5.089 Å
α = 90.00°, β = 90.00°, γ = 90.00°
Space group Pm-3m (No. 221)
Unique sites:
Tc: 0.000 0.000 0.000
Ag: 0.000 0.000 0.500
P: 0.500 0.500 0.500